DFT (PBE-GGA) results for crystalline Ga2ICl at its relaxed geometry.

Summary:
Its raw formation energy is -0.422 eV/atom. As for the space group: I-42d. The value obtained for the energy above the lowest structure with this stoichiometry is 0.103 eV per atom. The uncorrected energy comes out at -11.1 eV per formula unit. The calculated volume is 354.8 Å³ per cell. As for the crystal system: tetragonal.

a b c (Å): 7.149 7.149 8.588
angles (deg): 65.41 65.41 90.00
Element x y z (fractional)
I 0.750 0.250 0.500
Ga 0.875 0.836 0.750
Ga 0.375 0.414 0.750
I 0.000 0.000 0.000
Ga 0.164 0.625 0.250
Cl 0.500 0.500 0.000
Cl 0.250 0.750 0.500
Ga 0.586 0.125 0.250


DFT (PBE-GGA) results for crystalline AlP2Rh at its relaxed geometry.

Summary:
As for the space group: F-43m. The uncorrected energy comes out at -21.4 eV per formula unit. The calculated volume is 58.3 Å³ per cell. The value obtained for the formation energy is 0.5 eV/f.u. As for the crystal system: cubic.

a b c (Å): 4.351 4.351 4.351
angles (deg): 60.00 60.00 60.00
Element x y z (fractional)
P 0.000 0.000 0.000
Al 0.500 0.500 0.500
P 0.250 0.250 0.250
Rh 0.750 0.750 0.750


DFT (PBE-GGA) results for crystalline TbPmGaNi at its relaxed geometry.

Summary:
As for the space group: Amm2. The value obtained for the energy above the lowest structure with this stoichiometry is 0.000 eV per atom. The uncorrected energy comes out at -20.0 eV per formula unit. The calculated volume is 91.8 Å³ per cell. The value obtained for the formation energy is -1.8 eV/f.u. As for the crystal system: orthorhombic.

a b c (Å): 3.813 4.332 5.877
angles (deg): 90.00 108.93 90.00
Element x y z (fractional)
Ga 0.566 0.500 0.131
Pm 0.144 0.000 0.287
Ni 0.431 0.000 0.863
Tb 0.859 0.500 0.719


DFT (PBE-GGA) results for crystalline HfAs2BrN at its relaxed geometry.

Summary:
Its raw formation energy is 0.599 eV/atom. As for the space group: P4/mmm. The value obtained for the energy above the lowest structure with this stoichiometry is 0.000 eV per atom. The uncorrected energy comes out at -26.3 eV per formula unit. The calculated volume is 86.0 Å³ per cell. As for the crystal system: tetragonal.

a b c (Å): 4.451 4.451 4.339
angles (deg): 90.00 90.00 90.00
Element x y z (fractional)
Hf 0.500 0.500 0.500
As 0.500 0.000 0.000
As 0.000 0.500 0.000
N 0.000 0.000 0.000
Br 0.000 0.000 0.500


DFT (PBE-GGA) results for crystalline Ba2PrAu4 at its relaxed geometry.

Summary:
As for the space group: I4/mmm. The uncorrected energy comes out at -25.8 eV per formula unit. The calculated volume is 224.9 Å³ per cell. The value obtained for the formation energy is -4.0 eV/f.u. As for the crystal system: tetragonal.

a b c (Å): 5.622 5.622 8.150
angles (deg): 110.18 110.18 90.00
Element x y z (fractional)
Ba 0.283 0.283 0.566
Au 0.899 0.399 0.798
Ba 0.717 0.717 0.434
Pr 0.000 0.000 0.000
Au 0.101 0.601 0.202
Au 0.601 0.101 0.202
Au 0.399 0.899 0.798


DFT (PBE-GGA) results for crystalline Ac3HgH at its relaxed geometry.

Summary:
As for the space group: Pm-3m. The uncorrected energy comes out at -16.8 eV per formula unit. The calculated volume is 153.5 Å³ per cell. As for the crystal system: cubic.

a b c (Å): 5.354 5.354 5.354
angles (deg): 90.00 90.00 90.00
Element x y z (fractional)
Ac 0.500 0.000 0.000
Hg 0.500 0.500 0.500
H 0.000 0.000 0.000
Ac 0.000 0.500 0.000
Ac 0.000 0.000 0.500


DFT (PBE-GGA) results for crystalline ZrBRu3 at its relaxed geometry.

Summary:
As for the space group: Cmcm. The uncorrected energy comes out at -42.2 eV per formula unit. The calculated volume is 149.5 Å³ per cell. The value obtained for the formation energy is 0.8 eV/f.u. As for the crystal system: orthorhombic.

a b c (Å): 5.463 5.463 5.271
angles (deg): 90.00 90.00 108.12
Element x y z (fractional)
Ru 0.918 0.474 0.250
Ru 0.000 0.000 0.500
B 0.181 0.819 0.250
Zr 0.446 0.554 0.250
B 0.819 0.181 0.750
Zr 0.554 0.446 0.750
Ru 0.526 0.082 0.250
Ru 0.000 0.000 0.000
Ru 0.082 0.526 0.750
Ru 0.474 0.918 0.750


DFT (PBE-GGA) results for crystalline DyBe2BRu at its relaxed geometry.

Summary:
As for the space group: Imm2. The uncorrected energy comes out at -29.4 eV per formula unit. The calculated volume is 64.3 Å³ per cell. The value obtained for the formation energy is -1.4 eV/f.u. As for the crystal system: orthorhombic.

a b c (Å): 3.500 3.581 5.712
angles (deg): 108.27 107.84 90.00
Element x y z (fractional)
Be 0.062 0.062 0.125
Dy 0.433 0.433 0.866
B 0.817 0.817 0.634
Ru 0.197 0.697 0.394
Be 0.703 0.203 0.406


DFT (PBE-GGA) results for crystalline BeCu2Ag2 at its relaxed geometry.

Summary:
As for the space group: P4/mbm. The value obtained for the energy above the lowest structure with this stoichiometry is 0.000 eV per atom. The uncorrected energy comes out at -16.5 eV per formula unit. The calculated volume is 142.5 Å³ per cell. The value obtained for the formation energy is 1.1 eV/f.u. As for the crystal system: tetragonal.

a b c (Å): 5.794 5.794 4.244
angles (deg): 90.00 90.00 90.00
Element x y z (fractional)
Ag 0.672 0.828 0.500
Cu 0.356 0.856 0.000
Ag 0.172 0.672 0.500
Cu 0.144 0.356 0.000
Be 0.000 0.000 0.000
Be 0.500 0.500 0.000
Cu 0.856 0.644 0.000
Ag 0.328 0.172 0.500
Ag 0.828 0.328 0.500
Cu 0.644 0.144 0.000


DFT (PBE-GGA) results for crystalline Rb2HgSe2 at its relaxed geometry.

Summary:
Its raw formation energy is -0.822 eV/atom. As for the space group: C2/m. The uncorrected energy comes out at -13.3 eV per formula unit. The calculated volume is 436.0 Å³ per cell. As for the crystal system: monoclinic.

a b c (Å): 6.945 8.454 9.472
angles (deg): 117.74 90.00 114.25
Element x y z (fractional)
Rb 0.034 0.069 0.763
Se 0.810 0.620 0.391
Se 0.529 0.057 0.812
Se 0.190 0.380 0.609
Rb 0.670 0.339 0.585
Hg 0.349 0.699 0.883
Rb 0.966 0.931 0.237
Se 0.471 0.943 0.188
Rb 0.330 0.661 0.415
Hg 0.651 0.301 0.117


DFT (PBE-GGA) results for crystalline Nb2Co6Re at its relaxed geometry.

Summary:
As for the space group: P-3m1. The uncorrected energy comes out at -75.2 eV per formula unit. The calculated volume is 116.6 Å³ per cell. The value obtained for the formation energy is 0.0 eV/f.u. As for the crystal system: trigonal.

a b c (Å): 5.443 4.973 4.973
angles (deg): 120.00 90.00 90.00
Element x y z (fractional)
Nb 0.355 0.667 0.333
Co 0.829 0.823 0.177
Co 0.171 0.647 0.823
Nb 0.645 0.333 0.667
Co 0.829 0.823 0.647
Co 0.171 0.177 0.353
Co 0.171 0.177 0.823
Re 0.500 0.000 0.000
Co 0.829 0.353 0.177


DFT (PBE-GGA) results for crystalline Sm2PuSc at its relaxed geometry.

Summary:
As for the space group: Fm-3m. The value obtained for the energy above the lowest structure with this stoichiometry is 0.086 eV per atom. The uncorrected energy comes out at -29.3 eV per formula unit. The calculated volume is 119.2 Å³ per cell. The value obtained for the formation energy is 0.8 eV/f.u. As for the crystal system: cubic.

a b c (Å): 5.524 5.524 5.524
angles (deg): 60.00 60.00 60.00
Last column: magnetic moment on the atom in μB.
Element x y z (fractional)
Sm 0.750 0.750 0.750  0.25
Sc 0.500 0.500 0.500  0.31
Pu 0.000 0.000 0.000  5.60
Sm 0.250 0.250 0.250  0.25


DFT (PBE-GGA) results for crystalline UB2C at its relaxed geometry.

Summary:
As for the space group: R-3m. The uncorrected energy comes out at -31.1 eV per formula unit. The calculated volume is 55.3 Å³ per cell. The value obtained for the formation energy is 2.8 eV/f.u. As for the crystal system: trigonal.

a b c (Å): 4.045 4.045 4.550
angles (deg): 63.60 63.60 60.00
Element x y z (fractional)
U 0.500 0.500 0.500
C 0.000 0.000 0.000
B 0.876 0.876 0.371
B 0.124 0.124 0.629


DFT (PBE-GGA) results for crystalline AcNd6HoTm2 at its relaxed geometry.

Summary:
As for the space group: C2/c. The uncorrected energy comes out at -45.0 eV per formula unit. The calculated volume is 702.7 Å³ per cell. The value obtained for the formation energy is 1.2 eV/f.u. As for the crystal system: monoclinic.

a b c (Å): 9.718 9.025 9.025
angles (deg): 116.87 92.96 92.96
Element x y z (fractional)
Nd 0.883 0.291 0.514
Nd 0.117 0.709 0.486
Nd 0.183 0.551 0.004
Tm 0.951 0.688 0.793
Nd 0.054 0.119 0.757
Ho 0.750 0.587 0.413
Nd 0.946 0.881 0.243
Ac 0.750 0.031 0.969
Tm 0.049 0.312 0.207
Ac 0.250 0.969 0.031
Ho 0.250 0.413 0.587
Nd 0.617 0.486 0.709
Nd 0.554 0.757 0.119
Nd 0.817 0.449 0.996
Nd 0.446 0.243 0.881
Nd 0.383 0.514 0.291
Tm 0.451 0.793 0.688
Tm 0.549 0.207 0.312
Nd 0.683 0.004 0.551
Nd 0.317 0.996 0.449


DFT (PBE-GGA) results for crystalline Ba4SiSb at its relaxed geometry.

Summary:
Its raw formation energy is 0.341 eV/atom. As for the space group: F-43m. The uncorrected energy comes out at -15.2 eV per formula unit. The calculated volume is 241.5 Å³ per cell. As for the crystal system: cubic.

a b c (Å): 6.990 6.990 6.990
angles (deg): 60.00 60.00 60.00
Element x y z (fractional)
Ba 0.375 0.375 0.375
Ba 0.375 0.375 0.874
Ba 0.874 0.375 0.375
Ba 0.375 0.874 0.375
Sb 0.750 0.750 0.750
Si 0.000 0.000 0.000


DFT (PBE-GGA) results for crystalline RbFeMo2W at its relaxed geometry.

Summary:
As for the space group: P4/mmm. The uncorrected energy comes out at -32.0 eV per formula unit. The calculated volume is 98.5 Å³ per cell. The value obtained for the formation energy is 12.0 eV/f.u. As for the crystal system: tetragonal.

a b c (Å): 4.579 4.700 4.579
angles (deg): 90.00 90.00 90.00
Element x y z (fractional)
W 0.500 0.500 0.500
Mo 0.500 0.000 0.000
Fe 0.000 0.000 0.000
Rb 0.000 0.500 0.000
Mo 0.000 0.000 0.500


DFT (PBE-GGA) results for crystalline Nd4Sb2Pd at its relaxed geometry.

Summary:
Its raw formation energy is -0.718 eV/atom. As for the space group: C2/m. The uncorrected energy comes out at -37.5 eV per formula unit. The calculated volume is 236.8 Å³ per cell. As for the crystal system: monoclinic.

a b c (Å): 4.378 7.490 8.503
angles (deg): 117.42 104.92 90.00
Element x y z (fractional)
Sb 0.262 0.260 0.523
Nd 0.381 0.737 0.761
Nd 0.883 0.207 0.766
Pd 0.000 0.000 0.000
Nd 0.619 0.263 0.239
Sb 0.738 0.740 0.477
Nd 0.117 0.793 0.234


DFT (PBE-GGA) results for crystalline Rb8BrO2 at its relaxed geometry.

Summary:
Its raw formation energy is -0.785 eV/atom. As for the space group: C2/m. The uncorrected energy comes out at -28.0 eV per formula unit. The calculated volume is 637.0 Å³ per cell. As for the crystal system: monoclinic.

a b c (Å): 5.819 10.599 10.599
angles (deg): 77.95 86.25 86.25
Element x y z (fractional)
Rb 0.263 0.374 0.374
Rb 0.801 0.213 0.213
Rb 0.306 0.284 0.967
Rb 0.694 0.033 0.716
Rb 0.737 0.626 0.626
O 0.320 0.217 0.217
Rb 0.199 0.787 0.787
Rb 0.694 0.716 0.033
O 0.680 0.783 0.783
Br 0.000 0.000 0.000
Rb 0.306 0.967 0.284


DFT (PBE-GGA) results for crystalline CaNbReAu2 at its relaxed geometry.

Summary:
As for the space group: P4/mmm. The uncorrected energy comes out at -21.1 eV per formula unit. The calculated volume is 114.7 Å³ per cell. The value obtained for the formation energy is 10.0 eV/f.u. As for the crystal system: tetragonal.

a b c (Å): 4.846 4.883 4.846
angles (deg): 90.00 90.00 90.00
Element x y z (fractional)
Au 0.000 0.000 0.500
Ca 0.000 0.000 0.000
Nb 0.500 0.500 0.500
Re 0.000 0.500 0.000
Au 0.500 0.000 0.000


DFT (PBE-GGA) results for crystalline RbTl2TcCl8 at its relaxed geometry.

Summary:
Its raw formation energy is -0.978 eV/atom. As for the space group: P2/m. The uncorrected energy comes out at -42.6 eV per formula unit. The calculated volume is 390.1 Å³ per cell. As for the crystal system: monoclinic.

a b c (Å): 6.172 7.622 9.177
angles (deg): 89.98 90.01 115.37
Last column: magnetic moment on the atom in μB.
Element x y z (fractional)
Cl 0.967 0.208 0.182  0.03
Cl 0.415 0.186 0.000  0.02
Cl 0.032 0.792 0.182  0.03
Cl 0.583 0.297 0.500  -0.07
Tl 0.500 0.500 0.255  -0.05
Tl 0.500 0.500 0.745  -0.05
Cl 0.033 0.792 0.818  0.03
Rb 0.000 0.000 0.500  0.00
Cl 0.968 0.208 0.818  0.03
Cl 0.417 0.703 0.500  -0.07
Tc 0.000 0.000 0.000  1.85
Cl 0.585 0.814 0.000  0.02


DFT (PBE-GGA) results for crystalline Sr2GeI2O2 at its relaxed geometry.

Summary:
Its raw formation energy is -1.753 eV/atom. As for the space group: C2/m. The uncorrected energy comes out at -33.3 eV per formula unit. The calculated volume is 197.5 Å³ per cell. As for the crystal system: monoclinic.

a b c (Å): 4.289 6.550 7.715
angles (deg): 104.45 90.00 109.11
Element x y z (fractional)
Ge 0.000 0.000 0.500
O 0.850 0.701 0.570
I 0.389 0.778 0.174
Sr 0.310 0.621 0.696
O 0.150 0.299 0.430
I 0.611 0.222 0.826
Sr 0.690 0.379 0.304


DFT (PBE-GGA) results for crystalline LaPt2SeI at its relaxed geometry.

Summary:
Its raw formation energy is 0.098 eV/atom. As for the space group: P4/mmm. The uncorrected energy comes out at -21.6 eV per formula unit. The calculated volume is 137.9 Å³ per cell. As for the crystal system: tetragonal.

a b c (Å): 4.980 5.558 4.980
angles (deg): 90.00 90.00 90.00
Element x y z (fractional)
Pt 0.000 0.000 0.500
Pt 0.500 0.000 0.000
I 0.000 0.000 0.000
La 0.500 0.500 0.500
Se 0.000 0.500 0.000


DFT (PBE-GGA) results for crystalline Er2NpMn2C4 at its relaxed geometry.

Summary:
As for the space group: C2/m. The uncorrected energy comes out at -77.8 eV per formula unit. The calculated volume is 115.0 Å³ per cell. The value obtained for the formation energy is -0.5 eV/f.u. As for the crystal system: monoclinic.

a b c (Å): 3.289 6.423 5.953
angles (deg): 108.21 90.00 104.84
Last column: magnetic moment on the atom in μB.
Element x y z (fractional)
Mn 0.680 0.361 0.997  0.31
Er 0.862 0.725 0.452  0.00
Er 0.138 0.275 0.548  0.00
Np 0.000 0.000 0.000  -0.59
C 0.223 0.446 0.212  -0.01
C 0.529 0.058 0.752  0.02
Mn 0.320 0.639 0.003  0.31
C 0.471 0.942 0.248  0.02
C 0.777 0.554 0.788  -0.01


DFT (PBE-GGA) results for crystalline K4BeAl at its relaxed geometry.

Summary:
As for the space group: F-43m. The uncorrected energy comes out at -6.5 eV per formula unit. The calculated volume is 260.9 Å³ per cell. The value obtained for the formation energy is 5.3 eV/f.u. As for the crystal system: cubic.

a b c (Å): 7.172 7.172 7.172
angles (deg): 60.00 60.00 60.00
Element x y z (fractional)
K 0.875 0.375 0.375
Al 0.750 0.750 0.750
K 0.375 0.875 0.375
Be 0.000 0.000 0.000
K 0.375 0.375 0.875
K 0.375 0.375 0.375


DFT (PBE-GGA) results for crystalline La5Sn2Ir2 at its relaxed geometry.

Summary:
As for the space group: Cmce. The uncorrected energy comes out at -56.5 eV per formula unit. The calculated volume is 534.3 Å³ per cell. The value obtained for the formation energy is -6.1 eV/f.u. As for the crystal system: orthorhombic.

a b c (Å): 7.551 8.729 9.207
angles (deg): 118.30 90.00 90.00
Element x y z (fractional)
La 0.653 0.299 0.241
La 0.153 0.201 0.759
Ir 0.137 0.623 0.000
La 0.000 0.000 0.000
Sn 0.000 0.213 0.426
Sn 0.000 0.787 0.574
Ir 0.363 0.123 0.000
La 0.153 0.441 0.241
Sn 0.500 0.287 0.574
La 0.500 0.500 0.000
La 0.653 0.059 0.759
La 0.847 0.799 0.241
La 0.847 0.559 0.759
La 0.347 0.701 0.759
Ir 0.863 0.377 0.000
Ir 0.637 0.877 0.000
La 0.347 0.941 0.241
Sn 0.500 0.713 0.426